No. 1
The following is a PBE-GGA calculation of an optimized crystal structure of Tb5Pd6, from Alexandria via LeMat-Bulk.

The calculation puts the mass density at 9.4 g/cm3. Its crystal system is monoclinic. The total magnetization comes out at 0.0 Bohr magnetons per cell. As for the total energy: -5.707 eV/atom.

The space group is C2/m (No. 12) and the conventional cell measures 15.1842, 7.1064 and 4.8876 Å, with angles of 90.00, 106.40 and 90.00 degrees. The inequivalent atoms are Tb at (0.0000, 0.0000, 0.0000), Tb at (0.1406, 0.5000, 0.6628), Tb at (0.1757, 0.0000, 0.6738), Pd at (0.0000, 0.2136, 0.5000) and Pd at (0.1777, 0.2274, 0.1837).

---

No. 2
The following is a PBE-GGA calculation of an optimized crystal structure of Tb3Pd4, from Alexandria via LeMat-Bulk.

The calculation puts the mass density at 10.2 g/cm3. Its crystal system is trigonal. The total magnetization comes out at 0.0 Bohr magnetons per cell. As for the total energy: -5.873 eV/atom.

The space group is R-3 (No. 148, hexagonal axes) and the conventional cell measures 13.3078, 13.3078 and 5.7684 Å, with angles of 90.00, 90.00 and 120.00 degrees. The inequivalent atoms are Tb at (0.0407, 0.2103, 0.2356), Pd at (0.0000, 0.0000, 0.0000), Pd at (0.0000, 0.0000, 0.5000) and Pd at (0.0526, 0.2701, 0.7196).

---

- mass density of number 2 (Tb3Pd4)?
  10.2 g/cm3